The following is a DFT calculation (PBE) of a relaxed Ti2In2P crystal.

The density of states at the Fermi level is 9.62 states/eV per cell. The value obtained for the final energy is -0.1860 hartree per atom. The value obtained for the total moment is 1.47 μB per formula unit. As for the formation energy: 0.2731 eV/atom.

Lattice parameters (Å, degrees): 7.0981 7.0981 4.0343 90.00 90.00 90.00
Positions (direct):
Ti 0.1529 0.3471 0.0000
Ti 0.3471 0.8471 0.0000
Ti 0.6529 0.1529 0.0000
Ti 0.8471 0.6529 0.0000
In 0.1460 0.6460 0.5000
In 0.3540 0.1460 0.5000
In 0.6460 0.8540 0.5000
In 0.8540 0.3540 0.5000
P 0.0000 0.0000 0.5000
P 0.5000 0.5000 0.5000